Record 1
Entry from Alexandria via LeMat-Bulk: crystalline Ce3Lu at its relaxed geometry (PBE-GGA).

Lattice parameters (Å, degrees): 3.2944 4.4151 7.5647 90.00 90.00 90.00
Positions (direct):
1 Ce 0.0000 0.0000 0.0000
2 Ce 0.0000 0.5000 0.2359
3 Ce 0.5000 0.5000 0.7944
4 Lu 0.5000 0.0000 0.4865

Computed properties:
Energy above the most stable polymorph in this dataset = 0.155 eV per atom
Space group = Pmm2
Calculated formation energy = 245 meV/atom



Record 2
Entry from Alexandria via LeMat-Bulk: crystalline CeLu3 at its relaxed geometry (PBE-GGA).

Lattice parameters (Å, degrees): 6.5697 6.5697 6.5697 148.73 64.66 124.98
Positions (direct):
1 Ce 0.0000 0.0000 0.0000
2 Lu 0.4060 0.6551 0.7509
3 Lu 0.4906 0.9906 0.5000
4 Lu 0.9042 0.6551 0.2491

Computed properties:
Energy above the most stable polymorph in this dataset = 0.000 eV per atom
Space group = Imm2
Calculated formation energy = 55 meV/atom



Record 3
Entry from Alexandria via LeMat-Bulk: crystalline CeLu3 at its relaxed geometry (PBE-GGA).

Lattice parameters (Å, degrees): 7.0195 7.0195 5.5729 90.00 90.00 120.00
Positions (direct):
1 Ce 0.3333 0.6667 0.2500
2 Ce 0.6667 0.3333 0.7500
3 Lu 0.1672 0.3344 0.7500
4 Lu 0.1672 0.8328 0.7500
5 Lu 0.3344 0.1672 0.2500
6 Lu 0.6656 0.8328 0.7500
7 Lu 0.8328 0.1672 0.2500
8 Lu 0.8328 0.6656 0.2500

Computed properties:
Energy above the most stable polymorph in this dataset = 0.001 eV per atom
Space group = P6_3/mmc
Calculated formation energy = 56 meV/atom



Record 4
Entry from Alexandria via LeMat-Bulk: crystalline Ce3Lu at its relaxed geometry (PBE-GGA).

Lattice parameters (Å, degrees): 4.8319 4.8319 4.8319 90.00 90.00 90.00
Positions (direct):
1 Ce 0.0000 0.0000 0.5000
2 Ce 0.0000 0.5000 0.0000
3 Ce 0.5000 0.0000 0.0000
4 Lu 0.5000 0.5000 0.5000

Computed properties:
Energy above the most stable polymorph in this dataset = 0.007 eV per atom
Space group = Pm-3m
Calculated formation energy = 97 meV/atom



Record 5
Entry from Alexandria via LeMat-Bulk: crystalline CeLu3 at its relaxed geometry (PBE-GGA).

Lattice parameters (Å, degrees): 5.5398 5.5398 5.5398 60.00 60.00 60.00
Positions (direct):
1 Ce 0.0000 0.0000 0.0000
2 Lu 0.2500 0.2500 0.2500
3 Lu 0.5000 0.5000 0.5000
4 Lu 0.7500 0.7500 0.7500

Computed properties:
Energy above the most stable polymorph in this dataset = 0.076 eV per atom
Space group = Fm-3m
Calculated formation energy = 131 meV/atom



Record 6
Entry from Alexandria via LeMat-Bulk: crystalline Ce3Lu at its relaxed geometry (PBE-GGA).

Lattice parameters (Å, degrees): 5.9281 5.9281 5.9281 132.56 132.56 69.34
Positions (direct):
1 Ce 0.0000 0.0000 0.0000
2 Ce 0.2500 0.7500 0.5000
3 Ce 0.7500 0.2500 0.5000
4 Lu 0.5000 0.5000 0.0000

Computed properties:
Energy above the most stable polymorph in this dataset = 0.000 eV per atom
Space group = I4/mmm
Calculated formation energy = 90 meV/atom